1.
K2NpNiSe4 | GGA-PBE | relaxed

As for the space group: No. 10. The uncorrected formation energy comes out at -851 meV per atom. The total energy is -41.66 eV per cell.

abc: 3.920 8.289 7.261
angles: 69.32 90.00 90.00
Fractional coordinates of all 8 atoms:
1 K 0.000 0.000 0.000
2 K 0.500 0.000 0.500
3 Np 0.000 0.500 0.500
4 Ni 0.500 0.500 0.000
5 Se 0.000 0.654 0.806
6 Se 0.000 0.346 0.194
7 Se 0.500 0.729 0.289
8 Se 0.500 0.271 0.711

---

2.
RbTl2InCl6 | GGA-PBE | relaxed

As for the space group: No. 1. The uncorrected formation energy comes out at -1261 meV per atom. The total energy is -32.13 eV per cell.

abc: 7.822 7.823 7.965
angles: 60.56 60.57 59.95
Fractional coordinates of all 10 atoms:
1 Rb 0.813 0.813 0.560
2 Tl 0.533 0.533 0.402
3 Tl 0.025 0.025 0.926
4 In 0.323 0.323 0.032
5 Cl 0.547 0.206 0.243
6 Cl 0.206 0.005 0.243
7 Cl 0.004 0.547 0.242
8 Cl 0.425 0.653 0.789
9 Cl 0.653 0.133 0.789
10 Cl 0.134 0.425 0.789